1.
# NaCr2InBr SCAN PBEsol geometry
# E_form (uncorrected) ... 0.93 eV/atom
data_NaCr2InBr
_chemical_formula_sum 'Na1 Cr2 In1 Br1'
_cell_length_a 5.1489
_cell_length_b 5.1489
_cell_length_c 5.5595
_cell_angle_alpha 90.00
_cell_angle_beta 90.00
_cell_angle_gamma 90.00
_space_group_name_H-M_alt 'P 4/m m m'
_space_group_IT_number 123
_space_group_name_Hall '-P 4 2'
loop_
_atom_site_label
_atom_site_type_symbol
_atom_site_fract_x
_atom_site_fract_y
_atom_site_fract_z
_atom_site_occupancy
Na1 Na 0.0000 0.0000 0.0000 1
Cr1 Cr 0.0000 0.5000 0.0000 1
In1 In 0.0000 0.0000 0.5000 1
Br1 Br 0.5000 0.5000 0.5000 1



2.
# Cr3IrBr SCAN PBEsol geometry
# ΔE to the lowest computed polymorph ... 847 meV/atom
# E_form (uncorrected) ... 1.52 eV/atom
data_Cr3IrBr
_chemical_formula_sum 'Cr3 Ir1 Br1'
_cell_length_a 4.2199
_cell_length_b 4.2199
_cell_length_c 4.2199
_cell_angle_alpha 90.00
_cell_angle_beta 90.00
_cell_angle_gamma 90.00
_space_group_name_H-M_alt 'P m -3 m'
_space_group_IT_number 221
_space_group_name_Hall '-P 4 2 3'
loop_
_atom_site_label
_atom_site_type_symbol
_atom_site_fract_x
_atom_site_fract_y
_atom_site_fract_z
_atom_site_occupancy
Cr1 Cr 0.0000 0.0000 0.5000 1
Ir1 Ir 0.5000 0.5000 0.5000 1
Br1 Br 0.0000 0.0000 0.0000 1



3.
# Cr3IrBr SCAN PBEsol geometry
# ΔE to the lowest computed polymorph ... 0 meV/atom
# E_form (uncorrected) ... 0.68 eV/atom
data_Cr3IrBr
_chemical_formula_sum 'Cr3 Ir1 Br1'
_cell_length_a 4.7527
_cell_length_b 4.7527
_cell_length_c 4.7527
_cell_angle_alpha 90.00
_cell_angle_beta 90.00
_cell_angle_gamma 90.00
_space_group_name_H-M_alt 'P m -3 m'
_space_group_IT_number 221
_space_group_name_Hall '-P 4 2 3'
loop_
_atom_site_label
_atom_site_type_symbol
_atom_site_fract_x
_atom_site_fract_y
_atom_site_fract_z
_atom_site_occupancy
Cr1 Cr 0.0000 0.0000 0.5000 1
Ir1 Ir 0.0000 0.0000 0.0000 1
Br1 Br 0.5000 0.5000 0.5000 1



4.
# Cr2IrBr SCAN PBEsol geometry
# ΔE to the lowest computed polymorph ... 0 meV/atom
# E_form (uncorrected) ... 0.28 eV/atom
data_Cr2IrBr
_chemical_formula_sum 'Cr2 Ir1 Br1'
_cell_length_a 2.9987
_cell_length_b 3.0833
_cell_length_c 6.7882
_cell_angle_alpha 90.00
_cell_angle_beta 90.00
_cell_angle_gamma 90.00
_space_group_name_H-M_alt 'P m m 2'
_space_group_IT_number 25
_space_group_name_Hall 'P 2 -2'
loop_
_atom_site_label
_atom_site_type_symbol
_atom_site_fract_x
_atom_site_fract_y
_atom_site_fract_z
_atom_site_occupancy
Cr1 Cr 0.0000 0.0000 0.0000 1
Cr2 Cr 0.5000 0.5000 0.2171 1
Ir1 Ir 0.0000 0.0000 0.3955 1
Br1 Br 0.5000 0.5000 0.7566 1



5.
# Cr2IrBr SCAN PBEsol geometry
# ΔE to the lowest computed polymorph ... 646 meV/atom
# E_form (uncorrected) ... 0.93 eV/atom
data_Cr2IrBr
_chemical_formula_sum 'Cr8 Ir4 Br4'
_cell_length_a 5.9935
_cell_length_b 5.9935
_cell_length_c 5.9935
_cell_angle_alpha 90.00
_cell_angle_beta 90.00
_cell_angle_gamma 90.00
_space_group_name_H-M_alt 'F m -3 m'
_space_group_IT_number 225
_space_group_name_Hall '-F 4 2 3'
loop_
_atom_site_label
_atom_site_type_symbol
_atom_site_fract_x
_atom_site_fract_y
_atom_site_fract_z
_atom_site_occupancy
Cr1 Cr 0.2500 0.2500 0.2500 1
Ir1 Ir 0.0000 0.0000 0.0000 1
Br1 Br 0.0000 0.0000 0.5000 1



6.
# CrIrBr SCAN PBEsol geometry
# E_form (uncorrected) ... 0.74 eV/atom
data_CrIrBr
_chemical_formula_sum 'Cr1 Ir1 Br1'
_cell_length_a 4.1953
_cell_length_b 4.1953
_cell_length_c 3.0806
_cell_angle_alpha 90.00
_cell_angle_beta 90.00
_cell_angle_gamma 120.00
_space_group_name_H-M_alt 'P 3 m 1'
_space_group_IT_number 156
_space_group_name_Hall 'P 3 -2"'
loop_
_atom_site_label
_atom_site_type_symbol
_atom_site_fract_x
_atom_site_fract_y
_atom_site_fract_z
_atom_site_occupancy
Cr1 Cr 0.0000 0.0000 0.0000 1
Ir1 Ir 0.3333 0.6667 0.3739 1
Br1 Br 0.6667 0.3333 0.6851 1



7.
# CrIrBr3 SCAN PBEsol geometry
# E_form (uncorrected) ... 0.36 eV/atom
data_CrIrBr3
_chemical_formula_sum 'Cr1 Ir1 Br3'
_cell_length_a 4.9990
_cell_length_b 4.9990
_cell_length_c 4.9990
_cell_angle_alpha 90.00
_cell_angle_beta 90.00
_cell_angle_gamma 90.00
_space_group_name_H-M_alt 'P m -3 m'
_space_group_IT_number 221
_space_group_name_Hall '-P 4 2 3'
loop_
_atom_site_label
_atom_site_type_symbol
_atom_site_fract_x
_atom_site_fract_y
_atom_site_fract_z
_atom_site_occupancy
Cr1 Cr 0.0000 0.0000 0.0000 1
Ir1 Ir 0.5000 0.5000 0.5000 1
Br1 Br 0.0000 0.5000 0.5000 1



8.
# K3CrBr SCAN PBEsol geometry
# E_form (uncorrected) ... -0.31 eV/atom
data_K3CrBr
_chemical_formula_sum 'K3 Cr1 Br1'
_cell_length_a 6.1937
_cell_length_b 6.1937
_cell_length_c 6.1937
_cell_angle_alpha 90.00
_cell_angle_beta 90.00
_cell_angle_gamma 90.00
_space_group_name_H-M_alt 'P m -3 m'
_space_group_IT_number 221
_space_group_name_Hall '-P 4 2 3'
loop_
_atom_site_label
_atom_site_type_symbol
_atom_site_fract_x
_atom_site_fract_y
_atom_site_fract_z
_atom_site_occupancy
K1 K 0.0000 0.0000 0.5000 1
Cr1 Cr 0.5000 0.5000 0.5000 1
Br1 Br 0.0000 0.0000 0.0000 1



9.
# K2CrBr SCAN PBEsol geometry
# E_form (uncorrected) ... -0.32 eV/atom
data_K2CrBr
_chemical_formula_sum 'K2 Cr1 Br1'
_cell_length_a 4.8108
_cell_length_b 4.8108
_cell_length_c 6.8994
_cell_angle_alpha 90.00
_cell_angle_beta 90.00
_cell_angle_gamma 90.00
_space_group_name_H-M_alt 'P 4 m m'
_space_group_IT_number 99
_space_group_name_Hall 'P 4 -2'
loop_
_atom_site_label
_atom_site_type_symbol
_atom_site_fract_x
_atom_site_fract_y
_atom_site_fract_z
_atom_site_occupancy
K1 K 0.0000 0.0000 0.0000 1
K2 K 0.5000 0.5000 0.4965 1
Cr1 Cr 0.5000 0.5000 0.9956 1
Br1 Br 0.0000 0.0000 0.4979 1



10.
# K2CrBrN SCAN PBEsol geometry
# E_form (uncorrected) ... 0.59 eV/atom
data_K2CrBrN
_chemical_formula_sum 'K2 Cr1 Br1 N1'
_cell_length_a 6.1485
_cell_length_b 6.1485
_cell_length_c 4.9337
_cell_angle_alpha 90.00
_cell_angle_beta 90.00
_cell_angle_gamma 90.00
_space_group_name_H-M_alt 'P 4/m m m'
_space_group_IT_number 123
_space_group_name_Hall '-P 4 2'
loop_
_atom_site_label
_atom_site_type_symbol
_atom_site_fract_x
_atom_site_fract_y
_atom_site_fract_z
_atom_site_occupancy
K1 K 0.0000 0.5000 0.0000 1
Cr1 Cr 0.0000 0.0000 0.5000 1
Br1 Br 0.0000 0.0000 0.0000 1
N1 N 0.5000 0.5000 0.5000 1



11.
# LiCrBr2 SCAN PBEsol geometry
# ΔE to the lowest computed polymorph ... 0 meV/atom
# E_form (uncorrected) ... -0.84 eV/atom
data_LiCrBr2
_chemical_formula_sum 'Li2 Cr2 Br4'
_cell_length_a 3.8711
_cell_length_b 6.5666
_cell_length_c 7.2702
_cell_angle_alpha 90.00
_cell_angle_beta 90.00
_cell_angle_gamma 90.00
_space_group_name_H-M_alt 'C m m m'
_space_group_IT_number 65
_space_group_name_Hall '-C 2 2'
loop_
_atom_site_label
_atom_site_type_symbol
_atom_site_fract_x
_atom_site_fract_y
_atom_site_fract_z
_atom_site_occupancy
Li1 Li 0.0000 0.0000 0.0000 1
Cr1 Cr 0.0000 0.0000 0.5000 1
Br1 Br 0.0000 0.5000 0.2459 1



12.
# LiCrBr2 SCAN PBEsol geometry
# ΔE to the lowest computed polymorph ... 3 meV/atom
# E_form (uncorrected) ... -0.84 eV/atom
data_LiCrBr2
_chemical_formula_sum 'Li2 Cr2 Br4'
_cell_length_a 3.8948
_cell_length_b 6.5990
_cell_length_c 7.2410
_cell_angle_alpha 90.00
_cell_angle_beta 90.00
_cell_angle_gamma 90.00
_space_group_name_H-M_alt 'I m m m'
_space_group_IT_number 71
_space_group_name_Hall '-I 2 2'
loop_
_atom_site_label
_atom_site_type_symbol
_atom_site_fract_x
_atom_site_fract_y
_atom_site_fract_z
_atom_site_occupancy
Li1 Li 0.0000 0.0000 0.0000 1
Cr1 Cr 0.0000 0.0000 0.5000 1
Br1 Br 0.0000 0.5000 0.2508 1



13.
# LiCr2Br SCAN PBEsol geometry
# ΔE to the lowest computed polymorph ... 0 meV/atom
# E_form (uncorrected) ... -0.20 eV/atom
data_LiCr2Br
_chemical_formula_sum 'Li1 Cr2 Br1'
_cell_length_a 3.2087
_cell_length_b 3.2087
_cell_length_c 6.5107
_cell_angle_alpha 90.00
_cell_angle_beta 90.00
_cell_angle_gamma 90.00
_space_group_name_H-M_alt 'P 4 m m'
_space_group_IT_number 99
_space_group_name_Hall 'P 4 -2'
loop_
_atom_site_label
_atom_site_type_symbol
_atom_site_fract_x
_atom_site_fract_y
_atom_site_fract_z
_atom_site_occupancy
Li1 Li 0.0000 0.0000 0.0000 1
Cr1 Cr 0.0000 0.0000 0.5730 1
Cr2 Cr 0.5000 0.5000 0.7311 1
Br1 Br 0.5000 0.5000 0.1485 1



14.
# LiCr2Br SCAN PBEsol geometry
# ΔE to the lowest computed polymorph ... 851 meV/atom
# E_form (uncorrected) ... 0.65 eV/atom
data_LiCr2Br
_chemical_formula_sum 'Li4 Cr8 Br4'
_cell_length_a 3.3486
_cell_length_b 3.3486
_cell_length_c 20.2679
_cell_angle_alpha 90.00
_cell_angle_beta 90.00
_cell_angle_gamma 90.00
_space_group_name_H-M_alt 'I -4 2 d'
_space_group_IT_number 122
_space_group_name_Hall 'I -4 2bw'
loop_
_atom_site_label
_atom_site_type_symbol
_atom_site_fract_x
_atom_site_fract_y
_atom_site_fract_z
_atom_site_occupancy
Li1 Li 0.0000 0.0000 0.0000 1
Cr1 Cr 0.2127 0.2500 0.6250 1
Br1 Br 0.0000 0.0000 0.5000 1



15.
# LiCr4Br SCAN PBEsol geometry
# E_form (uncorrected) ... 0.99 eV/atom
data_LiCr4Br
_chemical_formula_sum 'Li4 Cr16 Br4'
_cell_length_a 6.8284
_cell_length_b 6.8284
_cell_length_c 6.8284
_cell_angle_alpha 90.00
_cell_angle_beta 90.00
_cell_angle_gamma 90.00
_space_group_name_H-M_alt 'F -4 3 m'
_space_group_IT_number 216
_space_group_name_Hall 'F -4 2 3'
loop_
_atom_site_label
_atom_site_type_symbol
_atom_site_fract_x
_atom_site_fract_y
_atom_site_fract_z
_atom_site_occupancy
Li1 Li 0.0000 0.0000 0.0000 1
Cr1 Cr 0.1280 0.1280 0.6280 1
Br1 Br 0.2500 0.2500 0.2500 1



16.
# Mg2CrBr SCAN PBEsol geometry
# E_form (uncorrected) ... -0.01 eV/atom
data_Mg2CrBr
_chemical_formula_sum 'Mg4 Cr2 Br2'
_cell_length_a 3.2993
_cell_length_b 5.0520
_cell_length_c 10.2894
_cell_angle_alpha 90.00
_cell_angle_beta 90.00
_cell_angle_gamma 90.00
_space_group_name_H-M_alt 'I m m 2'
_space_group_IT_number 44
_space_group_name_Hall 'I 2 -2'
loop_
_atom_site_label
_atom_site_type_symbol
_atom_site_fract_x
_atom_site_fract_y
_atom_site_fract_z
_atom_site_occupancy
Mg1 Mg 0.0000 0.0000 0.0000 1
Mg2 Mg 0.0000 0.5000 0.2145 1
Cr1 Cr 0.0000 0.5000 0.7373 1
Br1 Br 0.0000 0.0000 0.4425 1



17.
# MgCrBr2O SCAN PBEsol geometry
# E_form (uncorrected) ... -0.64 eV/atom
data_MgCrBr2O
_chemical_formula_sum 'Mg1 Cr1 Br2 O1'
_cell_length_a 5.6658
_cell_length_b 5.6658
_cell_length_c 3.4825
_cell_angle_alpha 90.00
_cell_angle_beta 90.00
_cell_angle_gamma 90.00
_space_group_name_H-M_alt 'P 4/m m m'
_space_group_IT_number 123
_space_group_name_Hall '-P 4 2'
loop_
_atom_site_label
_atom_site_type_symbol
_atom_site_fract_x
_atom_site_fract_y
_atom_site_fract_z
_atom_site_occupancy
Mg1 Mg 0.0000 0.0000 0.0000 1
Cr1 Cr 0.5000 0.5000 0.0000 1
Br1 Br 0.0000 0.5000 0.5000 1
O1 O 0.5000 0.5000 0.5000 1



18.
# MgZnCrBr2 SCAN PBEsol geometry
# E_form (uncorrected) ... -0.02 eV/atom
data_MgZnCrBr2
_chemical_formula_sum 'Mg1 Zn1 Cr1 Br2'
_cell_length_a 5.0814
_cell_length_b 5.0814
_cell_length_c 5.5654
_cell_angle_alpha 90.00
_cell_angle_beta 90.00
_cell_angle_gamma 90.00
_space_group_name_H-M_alt 'P 4/m m m'
_space_group_IT_number 123
_space_group_name_Hall '-P 4 2'
loop_
_atom_site_label
_atom_site_type_symbol
_atom_site_fract_x
_atom_site_fract_y
_atom_site_fract_z
_atom_site_occupancy
Mg1 Mg 0.0000 0.0000 0.0000 1
Zn1 Zn 0.0000 0.0000 0.5000 1
Cr1 Cr 0.5000 0.5000 0.5000 1
Br1 Br 0.0000 0.5000 0.0000 1



19.
# MgZrCr2Br SCAN PBEsol geometry
# E_form (uncorrected) ... 1.29 eV/atom
data_MgZrCr2Br
_chemical_formula_sum 'Mg1 Zr1 Cr2 Br1'
_cell_length_a 4.6973
_cell_length_b 4.6973
_cell_length_c 5.7537
_cell_angle_alpha 90.00
_cell_angle_beta 90.00
_cell_angle_gamma 90.00
_space_group_name_H-M_alt 'P 4/m m m'
_space_group_IT_number 123
_space_group_name_Hall '-P 4 2'
loop_
_atom_site_label
_atom_site_type_symbol
_atom_site_fract_x
_atom_site_fract_y
_atom_site_fract_z
_atom_site_occupancy
Mg1 Mg 0.0000 0.0000 0.0000 1
Zr1 Zr 0.0000 0.0000 0.5000 1
Cr1 Cr 0.0000 0.5000 0.5000 1
Br1 Br 0.5000 0.5000 0.0000 1



20.
# MnCr2Br SCAN PBEsol geometry
# E_form (uncorrected) ... 0.51 eV/atom
data_MnCr2Br
_chemical_formula_sum 'Mn2 Cr4 Br2'
_cell_length_a 3.9014
_cell_length_b 3.9014
_cell_length_c 7.5708
_cell_angle_alpha 90.00
_cell_angle_beta 90.00
_cell_angle_gamma 90.00
_space_group_name_H-M_alt 'I -4 m 2'
_space_group_IT_number 119
_space_group_name_Hall 'I -4 -2'
loop_
_atom_site_label
_atom_site_type_symbol
_atom_site_fract_x
_atom_site_fract_y
_atom_site_fract_z
_atom_site_occupancy
Mn1 Mn 0.0000 0.0000 0.0000 1
Cr1 Cr 0.0000 0.0000 0.5000 1
Cr2 Cr 0.0000 0.5000 0.7500 1
Br1 Br 0.0000 0.5000 0.2500 1